DFT (GGA-PBE) results for a relaxed structure of SrLa3Ru.

The structure in extended XYZ format:
```
10
Lattice="-4.930 4.817 4.512 -4.723 -9.159 4.617 2.774 0.068 2.972" Properties=species:S:1:pos:R:3 pbc="T T T"
Ru -7.066 -3.426 6.688
Ru 0.187 -0.848 5.412
La -6.056 -1.180 5.695
La -4.546 -4.497 7.141
La -2.333 0.223 4.959
La 1.393 1.205 4.238
La -8.273 -5.480 7.862
La -0.824 -3.094 6.406
Sr -2.172 -6.822 4.958
Sr -4.707 2.547 7.142
```

Calculated values
DOS(E_F) = 11.2 states/eV/f.u.
E = -52.01 eV/cell
polymorph energy (0 for the lowest one) = 126 meV per atom
calculated formation energy = -53 meV/atom